[1]
Below is a relaxed structure of PmNd9Pb2, with properties calculated at the GGA-PBE level.

Geometry as CIF:
```
data_PmNd9Pb2
_cell_length_a 5.0191
_cell_length_b 5.0191
_cell_length_c 15.5279
_cell_angle_alpha 90.00
_cell_angle_beta 90.00
_cell_angle_gamma 90.00
_space_group_name_H-M_alt 'P 4/m m m'
_space_group_IT_number 123
_space_group_name_Hall '-P 4 2'
loop_
_atom_site_label
_atom_site_fract_x
_atom_site_fract_y
_atom_site_fract_z
Pm1 0.0000 0.0000 0.0000
Nd1 0.0000 0.5000 0.1745
Nd2 0.0000 0.5000 0.5000
Nd3 0.5000 0.5000 0.0000
Nd4 0.5000 0.5000 0.3394
Pb1 0.0000 0.0000 0.3376
```

Properties
VASP energy: -57.6 eV/cell

***

[2]
Below is a relaxed structure of Ho2Ga9Ir3, with properties calculated at the GGA-PBE level.

Geometry as CIF:
```
data_Ho2Ga9Ir3
_cell_length_a 13.0996
_cell_length_b 7.5885
_cell_length_c 9.4963
_cell_angle_alpha 90.00
_cell_angle_beta 90.00
_cell_angle_gamma 90.00
_space_group_name_H-M_alt 'C m c m'
_space_group_IT_number 63
_space_group_name_Hall '-C 2c 2'
loop_
_atom_site_label
_atom_site_fract_x
_atom_site_fract_y
_atom_site_fract_z
Ho1 0.1642 0.1663 0.2500
Ga1 0.0000 0.1283 0.7500
Ga2 0.0000 0.3323 0.0662
Ga3 0.1039 0.4429 0.7500
Ga4 0.1675 0.1671 0.5807
Ir1 0.0000 0.0000 0.0000
Ir2 0.1715 0.5000 0.0000
```

Properties
VASP energy: -289.0 eV/cell

***

[3]
Below is a relaxed structure of PrPaSb2, with properties calculated at the GGA-PBE level.

Geometry as CIF:
```
data_PrPaSb2
_cell_length_a 8.9277
_cell_length_b 17.7962
_cell_length_c 7.7097
_cell_angle_alpha 90.00
_cell_angle_beta 125.09
_cell_angle_gamma 90.00
_space_group_name_H-M_alt 'C 1 2/c 1'
_space_group_IT_number 15
loop_
_space_group_symop_operation_xyz
'x,y,z'
'-x,-y,-z'
'-x,y,-z+1/2'
'x,-y,z+1/2'
'x+1/2,y+1/2,z'
'-x+1/2,-y+1/2,-z'
'-x+1/2,y+1/2,-z+1/2'
'x+1/2,-y+1/2,z+1/2'
loop_
_atom_site_label
_atom_site_fract_x
_atom_site_fract_y
_atom_site_fract_z
Pr1 0.0000 0.0597 0.2500
Pr2 0.0000 0.1848 0.7500
Pa1 0.0000 0.3096 0.2500
Pa2 0.0000 0.4347 0.7500
Sb1 0.2329 0.4374 0.2408
Sb2 0.2456 0.3125 0.7410
```

Properties
raw formation energy: -0.807 eV/atom

***

One value per record, in order, for V: 391.2; 236.0; 125.3 Å³/f.u..